Entry 1:
Density functional theory data (PBE) for a geometry-optimized TlHg5I structure.

a b c (Å): 12.4094 7.0751 6.6411
angles (deg): 90.00 121.42 90.00
Space group Cm (No. 8)
Symmetry-distinct sites (fractional):
Tl1 0.0000 0.0000 0.0000
Hg1 0.0643 0.5000 0.8234
Hg2 0.0697 0.5000 0.3127
Hg3 0.2598 0.2200 0.7606
Hg4 0.3055 0.0000 0.3074
I1 0.4487 0.5000 0.4487



Entry 2:
Density functional theory data (PBE) for a geometry-optimized Tl6Hg12I structure.

a b c (Å): 12.3926 12.3926 15.2873
angles (deg): 90.00 90.00 120.00
Space group R-3m (No. 166, hexagonal axes)
Symmetry-distinct sites (fractional):
Tl1 0.0066 0.5033 0.1823
Hg1 0.0000 0.3656 0.0000
Hg2 0.0988 0.1975 0.9009
I1 0.0000 0.0000 0.5000



Entry 3:
Density functional theory data (PBE) for a geometry-optimized TlHg3I structure.

Summary:
Excess energy over the best structure of this formula in the dataset   208 meV/atom

a b c (Å): 5.9219 5.9219 5.9219
angles (deg): 90.00 90.00 90.00
Space group Pm-3m (No. 221)
Symmetry-distinct sites (fractional):
Tl1 0.0000 0.0000 0.0000
Hg1 0.0000 0.0000 0.5000
I1 0.5000 0.5000 0.5000



Entry 4:
Density functional theory data (PBE) for a geometry-optimized TlHg2I2 structure.

Summary:
Excess energy over the best structure of this formula in the dataset   49 meV/atom

a b c (Å): 8.9280 8.9280 4.5587
angles (deg): 90.00 90.00 90.00
Space group P4/mbm (No. 127)
Symmetry-distinct sites (fractional):
Tl1 0.0000 0.0000 0.0000
Hg1 0.1113 0.3887 0.0000
I1 0.2096 0.7096 0.5000



| no. | calculated density (g/cm3) | VASP energy (eV per atom) |
| --- | --- | --- |
| 1 | 8.91 | -0.897 |
| 2 | 9.21 | -1.025 |
| 3 | 7.46 | -0.965 |
| 4 | 7.85 | -1.397 |